No. 1
A plane-wave DFT calculation with GGA-PBE was carried out for an optimized crystal structure of BeGa4Co5.

Properties
Formation energy from the elements in eV per atom: -0.283
VASP energy in eV/atom: -5.419

a = 2.8282 Å, b = 2.8282 Å, c = 14.1538 Å
α = 90.00°, β = 90.00°, γ = 90.00°
Closest atoms and distances in Å follow each position.
Space group P4/mmm (No. 123)
One atom of each set of equivalent atoms:
Be1 0.0000 0.0000 0.0000 x1  8 Co 2.35
Ga1 0.0000 0.0000 0.1867 x2  8 Co 2.44-2.50, 1 Be 2.64
Ga2 0.0000 0.0000 0.3959 x2  8 Co 2.47-2.48
Co1 0.5000 0.5000 0.0873 x2  4 Be 2.35, 4 Ga 2.44, 1 Co 2.47
Co2 0.5000 0.5000 0.2932 x2  8 Ga 2.47-2.50
Co3 0.5000 0.5000 0.5000 x1  8 Ga 2.48


No. 2
A plane-wave DFT calculation with GGA-PBE was carried out for an optimized crystal structure of Zr2TaRe.

Properties
Formation energy from the elements in eV per atom: 0.125
Distance to the lowest polymorph of the same formula in eV/atom: 0.258
VASP energy in eV/atom: -10.225

a = 3.1060 Å, b = 3.1060 Å, c = 28.3758 Å
α = 90.00°, β = 90.00°, γ = 120.00°
Closest atoms and distances in Å follow each position.
Space group R3m (No. 160, hexagonal axes)
One atom of each set of equivalent atoms:
Zr1 0.0000 0.0000 0.0000 x3  3 Re 2.87, 6 Zr 3.11
Zr2 0.0000 0.0000 0.2371 x3  3 Ta 3.07, 9 Zr 3.11-3.27
Ta1 0.0000 0.0000 0.4826 x3  3 Re 2.68
Re1 0.0000 0.0000 0.7455 x3  3 Ta 2.68, 3 Zr 2.87


No. 3
A plane-wave DFT calculation with GGA-PBE was carried out for an optimized crystal structure of DySc2In2Ag2.

Properties
Formation energy from the elements in eV per atom: -0.258
VASP energy in eV/atom: -4.322

a = 4.7486 Å, b = 4.7486 Å, c = 24.8518 Å
α = 90.00°, β = 90.00°, γ = 120.00°
Closest atoms and distances in Å follow each position.
Space group R-3m (No. 166, hexagonal axes)
One atom of each set of equivalent atoms:
Dy1 0.0000 0.0000 0.0000 x3  6 In 3.28, 2 Sc 3.35
Sc1 0.0000 0.0000 0.1349 x6  3 Ag 2.85, 4 In 3.13-3.15, 3 Sc 3.16
In1 0.0000 0.0000 0.2609 x6  3 Ag 2.84, 4 Sc 3.13-3.15
Ag1 0.0000 0.0000 0.4362 x6  3 In 2.84, 3 Sc 2.85, 1 Ag 3.17


No. 4
A plane-wave DFT calculation with GGA-PBE was carried out for an optimized crystal structure of TbDy2Ho2.

Properties
Formation energy from the elements in eV per atom: 0.091
Distance to the lowest polymorph of the same formula in eV/atom: 0.000
VASP energy in eV/atom: -4.507

a = 9.2571 Å, b = 9.2571 Å, c = 3.6929 Å
α = 90.00°, β = 90.00°, γ = 90.00°
Closest atoms and distances in Å follow each position.
Space group P4/mbm (No. 127)
One atom of each set of equivalent atoms:
Tb1 0.0000 0.0000 0.0000 x2  4 Dy 3.65, 2 Tb 3.69, 8 Ho 3.90
Dy1 0.1269 0.3731 0.0000 x4  6 Ho 3.22-3.35, 1 Dy 3.32
Ho1 0.1713 0.6713 0.5000 x4  6 Dy 3.22-3.35


No. 5
A plane-wave DFT calculation with GGA-PBE was carried out for an optimized crystal structure of Ba2La2Co.

Properties
Formation energy from the elements in eV per atom: 0.186
VASP energy in eV/atom: -3.976

a = 7.3964 Å, b = 7.3964 Å, c = 6.7880 Å
α = 90.00°, β = 90.00°, γ = 90.00°
Closest atoms and distances in Å follow each position.
Space group P4/mbm (No. 127)
One atom of each set of equivalent atoms:
Ba1 0.1845 0.3155 0.0000 x4  2 La 3.68, 5 Ba 3.82-3.86
La1 0.1791 0.6791 0.5000 x4  2 Co 2.72
Co1 0.0000 0.0000 0.5000 x2  4 La 2.72


No. 6
A plane-wave DFT calculation with GGA-PBE was carried out for an optimized crystal structure of PmSc2Tl2Ag2.

Properties
Formation energy from the elements in eV per atom: -0.194
VASP energy in eV/atom: -4.172

a = 4.7843 Å, b = 4.7843 Å, c = 25.3825 Å
α = 90.00°, β = 90.00°, γ = 120.00°
Closest atoms and distances in Å follow each position.
Space group R-3m (No. 166, hexagonal axes)
One atom of each set of equivalent atoms:
Pm1 0.0000 0.0000 0.0000 x3  6 Tl 3.31, 2 Sc 3.46
Sc1 0.0000 0.0000 0.1362 x6  3 Ag 2.85, 3 Sc 3.17, 1 Tl 3.18
Tl1 0.0000 0.0000 0.2615 x6  3 Ag 2.91, 4 Sc 3.18-3.21
Ag1 0.0000 0.0000 0.4417 x6  3 Sc 2.85, 3 Tl 2.91, 1 Ag 2.96


No. 7
A plane-wave DFT calculation with GGA-PBE was carried out for an optimized crystal structure of Rb2BeInPd.

Properties
Formation energy from the elements in eV per atom: 0.372
VASP energy in eV/atom: -2.346

a = 6.6221 Å, b = 6.6221 Å, c = 4.3349 Å
α = 90.00°, β = 90.00°, γ = 90.00°
Closest atoms and distances in Å follow each position.
Space group P4/mmm (No. 123)
One atom of each set of equivalent atoms:
Rb1 0.0000 0.5000 0.0000 x2  2 Pd 3.31
Be1 0.0000 0.0000 0.5000 x1  2 Pd 2.17
In1 0.5000 0.5000 0.5000 x1  8 Rb 3.96, 2 In 4.33
Pd1 0.0000 0.0000 0.0000 x1  2 Be 2.17


No. 8
A plane-wave DFT calculation with GGA-PBE was carried out for an optimized crystal structure of ScU3S6.

Properties
VASP energy in eV/atom: -7.937
ΔE_f (raw) in eV/atom: -1.441

a = 9.6114 Å, b = 3.8683 Å, c = 12.1690 Å
α = 90.00°, β = 100.86°, γ = 90.00°
Closest atoms and distances in Å follow each position.
Space group P2_1/m (No. 11)
One atom of each set of equivalent atoms:
Sc1 0.0349 0.2500 0.1423 x2  6 S 2.53-2.62
U1 0.1468 0.2500 0.6026 x2  6 S 2.69-2.82
U2 0.3256 0.7500 0.0031 x2  6 S 2.71-2.87
U3 0.3578 0.2500 0.3621 x2  7 S 2.76-3.07
S1 0.1227 0.2500 0.9589 x2  3 Sc 2.53-2.62, 2 U 2.73
S2 0.1520 0.7500 0.4456 x2  3 U 2.73-2.82
S3 0.1795 0.7500 0.7593 x2  1 Sc 2.57, 2 U 2.69
S4 0.2158 0.7500 0.2070 x2  2 Sc 2.62, 3 U 2.86-2.87
S5 0.4341 0.2500 0.5990 x2  4 U 2.76-2.84
S6 0.4762 0.2500 0.1282 x2  3 U 2.71


No. 9
A plane-wave DFT calculation with GGA-PBE was carried out for an optimized crystal structure of LaZnSN2.

Properties
Distance to the lowest polymorph of the same formula in eV/atom: 0.637
VASP energy in eV/atom: -4.629
ΔE_f (raw) in eV/atom: 0.767

a = 4.0962 Å, b = 4.0962 Å, c = 6.2144 Å
α = 90.00°, β = 90.00°, γ = 90.00°
Closest atoms and distances in Å follow each position.
Space group P4/mmm (No. 123)
One atom of each set of equivalent atoms:
La1 0.0000 0.0000 0.0000 x1  4 N 2.05
Zn1 0.5000 0.5000 0.5000 x1  4 S 2.90
S1 0.0000 0.0000 0.5000 x1  4 Zn 2.90, 2 La 3.11
N1 0.0000 0.5000 0.0000 x2  2 La 2.05


No. 10
A plane-wave DFT calculation with GGA-PBE was carried out for an optimized crystal structure of YUSi2O8.

Properties
VASP energy in eV/atom: -8.778
ΔE_f (raw) in eV/atom: -3.089

a = 6.9405 Å, b = 6.9405 Å, c = 6.2111 Å
α = 90.00°, β = 90.00°, γ = 90.00°
Closest atoms and distances in Å follow each position.
Space group I-4m2 (No. 119)
One atom of each set of equivalent atoms:
Y1 0.0000 0.0000 0.0000 x2  8 O 2.29-2.43
U1 0.0000 0.5000 0.2500 x2  8 O 2.25-2.36
Si1 0.0000 0.0000 0.5000 x2  4 O 1.65
Si2 0.0000 0.5000 0.7500 x2  4 O 1.64
O1 0.0000 0.1844 0.3320 x8  1 Si 1.65
O2 0.0000 0.3227 0.9251 x8  1 Si 1.64


No. 11
A plane-wave DFT calculation with GGA-PBE was carried out for an optimized crystal structure of CaNdTh2N4.

Properties
VASP energy in eV/atom: -8.319
ΔE_f (raw) in eV/atom: -1.455

a = 6.2619 Å, b = 3.6681 Å, c = 6.3379 Å
α = 90.00°, β = 109.59°, γ = 90.00°
Closest atoms and distances in Å follow each position.
Space group P2/m (No. 10)
One atom of each set of equivalent atoms:
Ca1 0.0000 0.0000 0.0000 x1  6 N 2.63-2.67
Nd1 0.0000 0.5000 0.5000 x1  6 N 2.63-2.64
Th1 0.5000 0.0000 0.5000 x1  6 N 2.50-2.52
Th2 0.5000 0.5000 0.0000 x1  6 N 2.52-2.53
N1 0.2658 0.0000 0.7541 x2  3 Th 2.52-2.53, 2 Nd 2.63, 1 Ca 2.63
N2 0.2730 0.5000 0.2607 x2  3 Th 2.50-2.52, 1 Nd 2.64, 2 Ca 2.67


No. 12
A plane-wave DFT calculation with GGA-PBE was carried out for an optimized crystal structure of SrTeP2O8.

Properties
VASP energy in eV/atom: -6.675
ΔE_f (raw) in eV/atom: -2.066

a = 4.8794 Å, b = 4.8794 Å, c = 23.4613 Å
α = 90.00°, β = 90.00°, γ = 120.00°
Closest atoms and distances in Å follow each position.
Space group R32 (No. 155, hexagonal axes)
One atom of each set of equivalent atoms:
Sr1 0.0000 0.0000 0.0000 x3  12 O 2.85-3.04
Te1 0.0000 0.0000 0.5000 x3  6 O 2.19
P1 0.0000 0.0000 0.2491 x6  4 O 1.52-1.56
O1 0.0000 0.0000 0.3141 x6  1 P 1.52
O2 0.0095 0.3071 0.2271 x18  1 P 1.56


The lowest VASP energy belongs to which entry?
Zr2TaRe


Number 11 is which compound?
CaNdTh2N4


What did the fifth record say?
A plane-wave DFT calculation with GGA-PBE was carried out for an optimized crystal structure of Ba2La2Co.

Properties
Formation energy from the elements in eV per atom: 0.186
VASP energy in eV/atom: -3.976

a = 7.3964 Å, b = 7.3964 Å, c = 6.7880 Å
α = 90.00°, β = 90.00°, γ = 90.00°
Closest atoms and distances in Å follow each position.
Space group P4/mbm (No. 127)
One atom of each set of equivalent atoms:
Ba1 0.1845 0.3155 0.0000 x4  2 La 3.68, 5 Ba 3.82-3.86
La1 0.1791 0.6791 0.5000 x4  2 Co 2.72
Co1 0.0000 0.0000 0.5000 x2  4 La 2.72


What is the formula in the sixth record?
PmSc2Tl2Ag2